Record 1
A plane-wave DFT calculation with GGA-PBE was carried out for crystalline BeSb at its relaxed geometry.

Output
The uncorrected formation energy is 0.47 eV/atom. The value obtained for the excess energy over the best structure of this formula in the dataset is 305 meV/atom. The density of states at the Fermi level is 11.23 states/eV/cell.

CIF file:
```
data_BeSb
_chemical_formula_sum 'Be6 Sb6'
_cell_length_a 6.936
_cell_length_b 6.936
_cell_length_c 6.936
_cell_angle_alpha 90.00
_cell_angle_beta 90.00
_cell_angle_gamma 90.00
_space_group_name_H-M_alt 'P 1'
_space_group_IT_number 1
loop_
_space_group_symop_operation_xyz
'x,y,z'
loop_
_atom_site_label
_atom_site_type_symbol
_atom_site_fract_x
_atom_site_fract_y
_atom_site_fract_z
_atom_site_occupancy
Be1 Be 0.000 0.250 0.500 1
Be2 Be 0.000 0.750 0.500 1
Be3 Be 0.250 0.500 0.000 1
Be4 Be 0.500 0.000 0.250 1
Be5 Be 0.500 0.000 0.750 1
Be6 Be 0.750 0.500 0.000 1
Sb1 Sb 0.000 0.500 0.250 1
Sb2 Sb 0.000 0.500 0.750 1
Sb3 Sb 0.250 0.000 0.500 1
Sb4 Sb 0.500 0.250 0.000 1
Sb5 Sb 0.500 0.750 0.000 1
Sb6 Sb 0.750 0.000 0.500 1
```



Record 2
A plane-wave DFT calculation with GGA-PBE was carried out for crystalline BeSb3 at its relaxed geometry.

Output
The uncorrected formation energy is 0.26 eV/atom. The value obtained for the excess energy over the best structure of this formula in the dataset is 0 meV/atom. The density of states at the Fermi level is 2.22 states/eV/cell.

CIF file:
```
data_BeSb3
_chemical_formula_sum 'Be1 Sb3'
_cell_length_a 4.015
_cell_length_b 4.015
_cell_length_c 7.210
_cell_angle_alpha 106.84
_cell_angle_beta 106.84
_cell_angle_gamma 60.71
_space_group_name_H-M_alt 'P 1'
_space_group_IT_number 1
loop_
_space_group_symop_operation_xyz
'x,y,z'
loop_
_atom_site_label
_atom_site_type_symbol
_atom_site_fract_x
_atom_site_fract_y
_atom_site_fract_z
_atom_site_occupancy
Be1 Be 0.000 0.000 0.000 1
Sb1 Sb 0.269 0.269 0.802 1
Sb2 Sb 0.500 0.500 0.500 1
Sb3 Sb 0.731 0.731 0.198 1
```